Compound: KCdOs2
Source: Alexandria via LeMat-Bulk
Functional: meta-GGA SCAN
Structure: PBEsol geometry Values from VASP.

Output
ρ = 12.2 g/cm3
DFT formation energy = 0.90 eV per atom
Total moment = 0.186 μB/atom
Symmetry = Cmm2 (35)
Crystal system = orthorhombic

Structure (Quantum ESPRESSO input):
```
&SYSTEM
  ibrav = 0, nat = 4, ntyp = 3
/
ATOMIC_SPECIES
Cd 112.41 Cd.upf
Os 190.23 Os.upf
K 39.10 K.upf
ATOMIC_POSITIONS angstrom
Cd 2.7394 -2.9390 3.9088
Os 5.0105 -5.3756 7.1495
Os 4.8302 -4.8338 4.6595
K 2.0628 -1.8647 0.7106
CELL_PARAMETERS angstrom
-0.6693 -2.3508 -1.2985
2.3696 1.2234 -0.7408
5.1770 -5.5542 7.3871
```

=====

Compound: ReHg2As
Source: Alexandria via LeMat-Bulk
Functional: meta-GGA SCAN
Structure: PBEsol geometry Values from VASP.

Output
ρ = 14.2 g/cm3
DFT formation energy = 0.36 eV per atom
Total moment = 0.000 μB/atom
Symmetry = P4mm (99)
Crystal system = tetragonal

Structure (Quantum ESPRESSO input):
```
&SYSTEM
  ibrav = 0, nat = 4, ntyp = 3
/
ATOMIC_SPECIES
Re 186.21 Re.upf
Hg 200.59 Hg.upf
As 74.92 As.upf
ATOMIC_POSITIONS angstrom
Re 2.4760 3.5854 -1.1881
Hg 2.4672 1.8427 1.1419
Hg 0.0176 0.0255 -0.0085
As 4.3615 4.5857 0.2330
CELL_PARAMETERS angstrom
-0.3029 1.1211 2.7520
2.4797 -1.4291 0.8551
4.7638 6.8982 -2.2858
```

=====

Compound: LiNi2W
Source: Alexandria via LeMat-Bulk
Functional: meta-GGA SCAN
Structure: PBEsol geometry Values from VASP.

Output
ρ = 10.9 g/cm3
DFT formation energy = 0.07 eV per atom
Total moment = 0.000 μB/atom
Symmetry = P4/mmm (123)
Crystal system = tetragonal

Structure (Quantum ESPRESSO input):
```
&SYSTEM
  ibrav = 0, nat = 4, ntyp = 3
/
ATOMIC_SPECIES
Ni 58.69 Ni.upf
Li 6.94 Li.upf
W 183.84 W.upf
ATOMIC_POSITIONS angstrom
Ni 0.0000 0.0000 1.5387
Ni 0.0000 0.0000 5.0325
Li 1.3217 1.3557 0.0000
W 1.3217 1.3557 3.2856
CELL_PARAMETERS angstrom
2.6773 0.0340 0.0000
-0.0340 2.6773 0.0000
0.0000 0.0000 6.5711
```